The following is a DFT calculation (PBE+U) of a relaxed Li5FeO4 crystal.

Calculated values
Energy above the lowest structure with this stoichiometry   0.047 eV/atom
Space group   P1 (1)
V   408.0 Å³ per cell

a b c (Å): 5.600 6.760 11.016
angles (deg): 89.83 78.08 89.77
Each line ends with the local moment (μB).
Positions (direct):
Li (0.177, 0.027, 0.447)  0.00
Li (0.917, 0.472, 0.195)  0.00
O (0.596, 0.753, 0.642)  0.14
Li (0.701, 0.470, 0.926)  0.00
O (0.901, 0.469, 0.371)  0.16
Li (0.990, 0.757, 0.334)  0.01
O (0.098, 0.969, 0.626)  0.15
O (0.363, 0.026, 0.889)  0.17
Li (0.537, 0.255, 0.766)  0.01
Fe (0.321, 0.753, 0.568)  4.21
Li (0.283, 0.968, 0.084)  0.00
O (0.375, 0.473, 0.882)  0.16
Li (0.098, 0.217, 0.290)  0.01
O (0.682, 0.261, 0.602)  0.17
Li (0.211, 0.473, 0.429)  0.00
O (0.913, 0.251, 0.858)  0.14
Li (0.771, 0.984, 0.571)  0.00
O (0.861, 0.756, 0.880)  0.13
Li (0.792, 0.531, 0.564)  0.00
Li (0.586, 0.966, 0.307)  0.00
Li (0.512, 0.257, 0.171)  0.01
Li (0.113, 0.527, 0.796)  0.00
Li (0.679, 0.042, 0.936)  0.00
O (0.642, 0.524, 0.109)  0.16
Li (0.322, 0.534, 0.058)  0.00
Li (0.489, 0.756, 0.826)  0.01
O (0.101, 0.730, 0.141)  0.14
Li (0.097, 0.980, 0.801)  0.00
O (0.397, 0.231, 0.359)  0.12
Li (0.886, 0.753, 0.702)  0.01
O (0.866, 0.024, 0.383)  0.16
Fe (0.833, 0.759, 0.059)  4.21
O (0.106, 0.535, 0.622)  0.16
O (0.173, 0.267, 0.119)  0.16
O (0.335, 0.763, 0.392)  0.14
Fe (0.676, 0.262, 0.432)  4.19
Li (0.411, 0.702, 0.220)  0.01
O (0.608, 0.964, 0.122)  0.17
Li (0.001, 0.254, 0.660)  0.01
Fe (0.171, 0.252, 0.949)  4.18